Compound: TbY12Ho3
Source: Alexandria
Functional: GGA-PBE
Structure: relaxed

The structure in POSCAR format:
```
TbY12Ho3
1.0
5.0379 0.0000 0.0000
0.0000 5.0379 0.0000
0.0000 0.0000 20.1513
Tb Y Ho
1 12 3
Direct
0.0000 0.0000 0.0000
0.0000 0.5000 0.1254
0.0000 0.5000 0.3752
0.0000 0.5000 0.6248
0.0000 0.5000 0.8746
0.5000 0.0000 0.1254
0.5000 0.0000 0.3752
0.5000 0.0000 0.6248
0.5000 0.0000 0.8746
0.5000 0.5000 0.0000
0.5000 0.5000 0.2504
0.5000 0.5000 0.5000
0.5000 0.5000 0.7496
0.0000 0.0000 0.2502
0.0000 0.0000 0.5000
0.0000 0.0000 0.7498
```

Computed properties:
For the spin magnetization, the calculation gives 0.000 μB/atom. The calculation puts the formation energy from the elements at 0.024 eV/atom. The space group is P4/mmm, No. 123.